# NpGaCuOs | Alexandria via LeMat-Bulk | PBE | optimized geometry
data_NpGaCuOs
_symmetry_space_group_name_H-M 'F -4 3 m'
_symmetry_Int_Tables_number 216
_symmetry_space_group_name_Hall 'F -4 2 3'
_cell_length_a 6.483
_cell_length_b 6.483
_cell_length_c 6.483
_cell_angle_alpha 90.00
_cell_angle_beta 90.00
_cell_angle_gamma 90.00
loop_
_atom_site_label
_atom_site_fract_x
_atom_site_fract_y
_atom_site_fract_z
_atom_site_occupancy
Np1 0.000 0.000 0.000 1
Ga1 0.000 0.000 0.500 1
Cu1 0.250 0.250 0.250 1
Os1 0.250 0.250 0.750 1
# - Formation energy: 0.179 eV per atom

***

VASP calculation (PBE) on CaSbOs3 after structural relaxation.

CIF file:
```
data_CaSbOs3
_symmetry_space_group_name_H-M 'P m -3 m'
_symmetry_Int_Tables_number 221
_symmetry_space_group_name_Hall '-P 4 2 3'
_cell_length_a 4.878
_cell_length_b 4.878
_cell_length_c 4.878
_cell_angle_alpha 90.00
_cell_angle_beta 90.00
_cell_angle_gamma 90.00
loop_
_atom_site_label
_atom_site_fract_x
_atom_site_fract_y
_atom_site_fract_z
_atom_site_occupancy
Ca1 0.000 0.000 0.000 1
Sb1 0.500 0.500 0.500 1
Os1 0.000 0.500 0.500 1
```

***

VASP calculation (PBE) on NaSbTe after structural relaxation.

CIF file:
```
data_NaSbTe
_symmetry_space_group_name_H-M 'P 1'
_symmetry_Int_Tables_number 1
_cell_length_a 4.469
_cell_length_b 4.697
_cell_length_c 9.443
_cell_angle_alpha 92.46
_cell_angle_beta 93.80
_cell_angle_gamma 90.23
loop_
_symmetry_equiv_pos_as_xyz
'x,y,z'
loop_
_atom_site_label
_atom_site_fract_x
_atom_site_fract_y
_atom_site_fract_z
_atom_site_occupancy
Na1 0.000 0.000 0.000 1
Na2 0.352 0.641 0.317 1
Sb1 0.018 0.103 0.632 1
Sb2 0.528 0.508 0.676 1
Te1 0.501 0.498 0.972 1
Te2 0.854 0.143 0.341 1
```

***

VASP calculation (PBE) on Li3Pr3ZrSe8 after structural relaxation.

CIF file:
```
data_Li3Pr3ZrSe8
_symmetry_space_group_name_H-M 'R -3 m'
_symmetry_Int_Tables_number 166
_symmetry_space_group_name_Hall '-R 3 2"'
_cell_length_a 8.3693
_cell_length_b 8.3693
_cell_length_c 19.5039
_cell_angle_alpha 90.00
_cell_angle_beta 90.00
_cell_angle_gamma 120.00
loop_
_atom_site_label
_atom_site_fract_x
_atom_site_fract_y
_atom_site_fract_z
_atom_site_occupancy
Li1 0.0000 0.5000 0.0000 1
Pr1 0.0000 0.5000 0.5000 1
Zr1 0.0000 0.0000 0.5000 1
Se1 0.0000 0.0000 0.2544 1
Se2 0.0260 0.5130 0.2491 1
```

***

# BC2 | Alexandria via LeMat-Bulk | PBE | optimized geometry
data_BC2
_symmetry_space_group_name_H-M 'C 1 2/m 1'
_symmetry_Int_Tables_number 12
_cell_length_a 13.040
_cell_length_b 2.565
_cell_length_c 4.697
_cell_angle_alpha 90.00
_cell_angle_beta 107.02
_cell_angle_gamma 90.00
loop_
_symmetry_equiv_pos_as_xyz
'x,y,z'
'-x,-y,-z'
'-x,y,-z'
'x,-y,z'
'x+1/2,y+1/2,z'
'-x+1/2,-y+1/2,-z'
'-x+1/2,y+1/2,-z'
'x+1/2,-y+1/2,z'
loop_
_atom_site_label
_atom_site_fract_x
_atom_site_fract_y
_atom_site_fract_z
_atom_site_occupancy
B1 0.107 0.000 0.402 1
B2 0.244 0.500 0.382 1
C1 0.060 0.500 0.563 1
C2 0.061 0.000 0.040 1
C3 0.101 0.500 0.909 1
C4 0.224 0.500 0.043 1
# - Formation energy: 0.351 eV per atom

***

VASP calculation (PBE) on Nd3N2F after structural relaxation.

CIF file:
```
data_Nd3N2F
_symmetry_space_group_name_H-M 'C m c m'
_symmetry_Int_Tables_number 63
_symmetry_space_group_name_Hall '-C 2c 2'
_cell_length_a 3.535
_cell_length_b 12.598
_cell_length_c 11.340
_cell_angle_alpha 90.00
_cell_angle_beta 90.00
_cell_angle_gamma 90.00
loop_
_atom_site_label
_atom_site_fract_x
_atom_site_fract_y
_atom_site_fract_z
_atom_site_occupancy
Nd1 0.000 0.107 0.086 1
Nd2 0.000 0.387 0.250 1
N1 0.000 0.003 0.750 1
N2 0.000 0.500 0.000 1
F1 0.000 0.289 0.750 1
```

***

| no. | uncorrected energy (eV per cell) |
| --- | --- |
| 1 | -122.307 |
| 2 | -31.260 |
| 3 | -19.911 |
| 4 | -240.826 |
| 5 | -192.566 |
| 6 | -169.109 |